# 1
A plane-wave DFT calculation with GGA-PBE was carried out for a relaxed CsBSCl2 crystal.

Computed properties:
- polymorph energy (0 for the lowest one) (kJ per mole of atoms) = 141.2
- space group = P4/mmm, No. 123

abc: 6.326 6.326 5.653
angles: 90.00 90.00 90.00
Site moments in Bohr magnetons follow the coordinates.
Element x y z (fractional)
1 Cs 0.000 0.000 0.000  0.02
2 S 0.000 0.000 0.500  0.40
3 B 0.500 0.500 0.500  -0.06
4 Cl 0.000 0.500 0.000  0.16
5 Cl 0.500 0.000 0.000  0.16


# 2
A plane-wave DFT calculation with GGA-PBE was carried out for a relaxed CsBSCl2 crystal.

Computed properties:
- polymorph energy (0 for the lowest one) (kJ per mole of atoms) = 0.0
- space group = P4/mmm, No. 123

abc: 5.759 5.759 3.598
angles: 90.00 90.00 90.00
Element x y z (fractional)
1 Cs 0.500 0.500 0.500
2 S 0.000 0.000 0.500
3 B 0.000 0.000 0.000
4 Cl 0.000 0.500 0.000
5 Cl 0.500 0.000 0.000


# 3
A plane-wave DFT calculation with GGA-PBE was carried out for a relaxed Cs2BSCl6 crystal.

Computed properties:
- space group = I4/mmm, No. 139

abc: 7.465 7.465 7.620
angles: 60.67 60.67 90.00
Site moments in Bohr magnetons follow the coordinates.
Element x y z (fractional)
1 Cs 0.750 0.250 0.500  0.00
2 Cs 0.250 0.750 0.500  0.00
3 S 0.000 0.000 0.000  0.46
4 B 0.500 0.500 0.000  0.00
5 Cl 0.209 0.209 0.581  0.05
6 Cl 0.791 0.791 0.419  0.05
7 Cl 0.311 0.311 0.000  0.02
8 Cl 0.689 0.689 0.000  0.02
9 Cl 0.689 0.311 0.000  0.02
10 Cl 0.311 0.689 0.000  0.02


# 4
A plane-wave DFT calculation with GGA-PBE was carried out for a relaxed CsBS2Cl crystal.

Computed properties:
- polymorph energy (0 for the lowest one) (kJ per mole of atoms) = 0.0
- space group = P4/mmm, No. 123

abc: 4.278 4.278 7.019
angles: 90.00 90.00 90.00
Site moments in Bohr magnetons follow the coordinates.
Element x y z (fractional)
1 Cs 0.500 0.500 0.500  0.00
2 S 0.000 0.500 0.000  0.11
3 S 0.500 0.000 0.000  0.11
4 B 0.000 0.000 0.000  0.02
5 Cl 0.000 0.000 0.500  0.00


# 5
A plane-wave DFT calculation with GGA-PBE was carried out for a relaxed Cs2ScBCl6 crystal.

Computed properties:
- space group = I4/mmm, No. 139

abc: 7.384 7.384 7.391
angles: 60.03 60.03 90.00
Element x y z (fractional)
1 Cs 0.750 0.250 0.500
2 Cs 0.250 0.750 0.500
3 Sc 0.000 0.000 0.000
4 B 0.500 0.500 0.000
5 Cl 0.241 0.241 0.519
6 Cl 0.759 0.759 0.481
7 Cl 0.241 0.241 0.000
8 Cl 0.759 0.759 0.000
9 Cl 0.759 0.241 0.000
10 Cl 0.241 0.759 0.000


# 6
A plane-wave DFT calculation with GGA-PBE was carried out for a relaxed CsSnB2Cl8 crystal.

Computed properties:
- space group = R-3, No. 148

abc: 6.349 6.349 11.205
angles: 73.54 73.54 60.00
Site moments in Bohr magnetons follow the coordinates.
Element x y z (fractional)
1 Cs 0.500 0.500 0.500  0.00
2 Sn 0.000 0.000 0.000  0.41
3 B 0.247 0.247 0.260  0.01
4 B 0.753 0.753 0.740  0.01
5 Cl 0.188 0.188 0.436  0.00
6 Cl 0.527 0.298 0.202  0.01
7 Cl 0.812 0.812 0.564  0.00
8 Cl 0.973 0.527 0.202  0.01
9 Cl 0.027 0.473 0.798  0.01
10 Cl 0.298 0.973 0.202  0.01
11 Cl 0.702 0.027 0.798  0.01
12 Cl 0.473 0.702 0.798  0.01


# 7
A plane-wave DFT calculation with GGA-PBE was carried out for a relaxed Cs2SrBCl6 crystal.

Computed properties:
- space group = Fm-3m, No. 225

abc: 7.438 7.438 7.436
angles: 59.99 59.99 90.00
Site moments in Bohr magnetons follow the coordinates.
Element x y z (fractional)
1 Cs 0.750 0.250 0.500  0.00
2 Cs 0.250 0.750 0.500  0.00
3 Sr 0.000 0.000 0.000  0.04
4 B 0.500 0.500 0.000  0.37
5 Cl 0.275 0.275 0.450  0.05
6 Cl 0.725 0.725 0.550  0.05
7 Cl 0.275 0.275 0.000  0.05
8 Cl 0.725 0.725 0.000  0.05
9 Cl 0.725 0.275 0.000  0.05
10 Cl 0.275 0.725 0.000  0.05


# 8
A plane-wave DFT calculation with GGA-PBE was carried out for a relaxed CsTlB2Cl8 crystal.

Computed properties:
- space group = R-3, No. 148

abc: 6.524 6.524 10.746
angles: 72.33 72.33 60.00
Element x y z (fractional)
1 Cs 0.500 0.500 0.500
2 Tl 0.000 0.000 0.000
3 B 0.248 0.248 0.255
4 B 0.752 0.752 0.745
5 Cl 0.187 0.187 0.440
6 Cl 0.502 0.332 0.193
7 Cl 0.813 0.813 0.560
8 Cl 0.973 0.502 0.193
9 Cl 0.027 0.498 0.807
10 Cl 0.332 0.973 0.193
11 Cl 0.668 0.027 0.807
12 Cl 0.498 0.668 0.807


# 9
A plane-wave DFT calculation with GGA-PBE was carried out for a relaxed Cs2VBCl6 crystal.

Computed properties:
- space group = Fm-3m, No. 225

abc: 7.232 7.232 7.237
angles: 60.02 60.02 90.00
Site moments in Bohr magnetons follow the coordinates.
Element x y z (fractional)
1 Cs 0.750 0.250 0.500  0.00
2 Cs 0.250 0.750 0.500  0.00
3 B 0.500 0.500 0.000  -0.01
4 Cl 0.237 0.237 0.527  -0.01
5 Cl 0.763 0.763 0.473  -0.01
6 Cl 0.237 0.237 0.000  -0.01
7 Cl 0.763 0.763 0.000  -0.01
8 Cl 0.763 0.237 0.000  -0.02
9 Cl 0.237 0.763 0.000  -0.02
10 V 0.000 0.000 0.000  1.87


# 10
A plane-wave DFT calculation with GGA-PBE was carried out for a relaxed Cs2BWCl6 crystal.

Computed properties:
- space group = I4/mmm, No. 139

abc: 7.305 7.305 7.345
angles: 60.18 60.18 90.00
Site moments in Bohr magnetons follow the coordinates.
Element x y z (fractional)
1 Cs 0.750 0.250 0.500  0.00
2 Cs 0.250 0.750 0.500  0.00
3 B 0.500 0.500 0.000  0.02
4 W 0.000 0.000 0.000  2.17
5 Cl 0.236 0.236 0.527  0.02
6 Cl 0.764 0.764 0.473  0.02
7 Cl 0.239 0.239 0.000  0.02
8 Cl 0.761 0.761 0.000  0.02
9 Cl 0.761 0.239 0.000  0.02
10 Cl 0.239 0.761 0.000  0.02


# 11
A plane-wave DFT calculation with GGA-PBE was carried out for a relaxed Cs2ZnBCl6 crystal.

Computed properties:
- space group = I4/mmm, No. 139

abc: 7.080 7.080 7.414
angles: 61.48 61.48 90.00
Element x y z (fractional)
1 Cs 0.750 0.250 0.500
2 Cs 0.250 0.750 0.500
3 Zn 0.000 0.000 0.000
4 B 0.500 0.500 0.000
5 Cl 0.211 0.211 0.578
6 Cl 0.789 0.789 0.422
7 Cl 0.291 0.291 0.000
8 Cl 0.709 0.709 0.000
9 Cl 0.709 0.291 0.000
10 Cl 0.291 0.709 0.000


# 12
A plane-wave DFT calculation with GGA-PBE was carried out for a relaxed Cs3Zr7BCl20 crystal.

Computed properties:
- space group = R-3c, No. 167

abc: 14.055 14.055 14.055
angles: 56.23 56.23 56.23
Element x y z (fractional)
1 Cs 0.000 0.500 0.500
2 Cs 0.500 0.000 0.500
3 Cs 0.000 0.500 0.000
4 Cs 0.500 0.500 0.000
5 Cs 0.000 0.000 0.500
6 Cs 0.500 0.000 0.000
7 Zr 0.444 0.329 0.613
8 Zr 0.671 0.387 0.556
9 Zr 0.387 0.556 0.671
10 Zr 0.829 0.944 0.113
11 Zr 0.250 0.250 0.250
12 Zr 0.329 0.613 0.444
13 Zr 0.887 0.171 0.056
14 Zr 0.171 0.056 0.887
15 Zr 0.056 0.887 0.171
16 Zr 0.556 0.671 0.387
17 Zr 0.113 0.829 0.944
18 Zr 0.613 0.444 0.329
19 Zr 0.944 0.113 0.829
20 Zr 0.750 0.750 0.750
21 B 0.000 0.000 0.000
22 B 0.500 0.500 0.500
23 Cl 0.315 0.871 0.816
24 Cl 0.184 0.685 0.129
25 Cl 0.564 0.437 0.750
26 Cl 0.820 0.820 0.820
27 Cl 0.250 0.436 0.563
28 Cl 0.750 0.564 0.437
29 Cl 0.436 0.563 0.250
30 Cl 0.815 0.316 0.371
31 Cl 0.064 0.250 0.937
32 Cl 0.621 0.879 0.250
33 Cl 0.437 0.750 0.564
34 Cl 0.431 0.250 0.069
35 Cl 0.069 0.431 0.250
36 Cl 0.180 0.180 0.180
37 Cl 0.685 0.129 0.184
38 Cl 0.250 0.621 0.879
39 Cl 0.750 0.931 0.569
40 Cl 0.129 0.184 0.685
41 Cl 0.684 0.629 0.185
42 Cl 0.185 0.684 0.629
43 Cl 0.750 0.063 0.936
44 Cl 0.569 0.750 0.931
45 Cl 0.250 0.069 0.431
46 Cl 0.629 0.185 0.684
47 Cl 0.931 0.569 0.750
48 Cl 0.936 0.750 0.063
49 Cl 0.250 0.937 0.064
50 Cl 0.371 0.815 0.316
51 Cl 0.320 0.320 0.320
52 Cl 0.879 0.250 0.621
53 Cl 0.680 0.680 0.680
54 Cl 0.563 0.250 0.436
55 Cl 0.379 0.121 0.750
56 Cl 0.937 0.064 0.250
57 Cl 0.063 0.936 0.750
58 Cl 0.750 0.379 0.121
59 Cl 0.121 0.750 0.379
60 Cl 0.816 0.315 0.871
61 Cl 0.316 0.371 0.815
62 Cl 0.871 0.816 0.315


no.,magnetic moment (μB/f.u.),E (eV per cell),raw formation energy (eV/atom)
1,1.02,-9.58,1.154
2,0.00,-16.90,-0.309
3,1.00,-31.62,-0.803
4,0.37,-17.43,0.040
5,0.00,-39.59,-1.380
6,1.00,-44.64,-0.971
7,1.00,-34.47,-1.333
8,0.00,-45.66,-1.193
9,2.00,-38.56,-0.998
10,3.00,-39.97,-0.755
11,0.00,-30.41,-0.967
12,0.00,-326.86,-1.852